[1]
ZrCl3: optimized geometry, GGA-PBE.

## Properties
final energy = -0.3671 Ry/atom
space-group type = No. 71
energy relative to the elements, uncorrected = -1473 meV per atom

abc: 7.7271 7.7271 7.7271
angles: 156.08 143.68 43.95
Closest atoms and distances in Å follow each position.
Element x y z (fractional)
Cl  0.6413  0.6413  0.0000  2 Zr 2.58
Cl  0.0000  0.5000  0.5000  4 Zr 2.89, 6 Cl 3.15-3.20
Cl  0.3587  0.3587  0.0000  2 Zr 2.58
Zr  0.5000  0.0000  0.5000  4 Cl 2.58

[2]
PmPrBiSb: optimized geometry, GGA-PBE.

## Properties
final energy = -0.3798 Ry/atom
space-group type = No. 216
energy relative to the elements, uncorrected = -784 meV per atom

abc: 5.5777 5.5777 5.5777
angles: 60.00 60.00 60.00
Closest atoms and distances in Å follow each position.
Element x y z (fractional)
Pr  0.5000  0.5000  0.5000  4 Bi 3.42, 4 Sb 3.42
Sb  0.7500  0.7500  0.7500  4 Pm 3.42, 4 Pr 3.42
Bi  0.2500  0.2500  0.2500  4 Pr 3.42, 4 Pm 3.42
Pm  0.0000  0.0000  0.0000  4 Bi 3.42, 4 Sb 3.42

[3]
Sr3LiRh2: optimized geometry, GGA-PBE.

## Properties
final energy = -0.2785 Ry/atom
space-group type = No. 14
energy of formation from the pure elements = -0.179 eV/atom

abc: 6.2042 11.8346 9.8898
angles: 90.00 108.95 90.00
Closest atoms and distances in Å follow each position.
Element x y z (fractional)
Li  0.9256  0.6895  0.8235  2 Rh 2.57-2.58
Li  0.0744  0.3105  0.1765  2 Rh 2.57-2.58
Li  0.5744  0.1895  0.6765  2 Rh 2.57-2.58
Li  0.4256  0.8105  0.3235  2 Rh 2.57-2.58
Rh  0.2115  0.6331  0.3594  1 Li 2.57, 1 Rh 2.64
Rh  0.3821  0.0072  0.7232  1 Li 2.58, 1 Rh 2.64
Rh  0.1179  0.5072  0.7768  1 Li 2.58, 1 Rh 2.64
Rh  0.8821  0.4928  0.2232  1 Li 2.58, 1 Rh 2.64
Rh  0.7885  0.3669  0.6406  1 Li 2.57, 1 Rh 2.64
Rh  0.7115  0.8669  0.8594  1 Li 2.57, 1 Rh 2.64
Rh  0.2885  0.1331  0.1406  1 Li 2.57, 1 Rh 2.64
Rh  0.6179  0.9928  0.2768  1 Li 2.58, 1 Rh 2.64
Sr  0.2492  0.9136  0.9767  4 Rh 3.03-3.24, 1 Li 3.37
Sr  0.1896  0.0417  0.3958  3 Rh 2.99-3.29, 1 Li 3.29
Sr  0.1681  0.2322  0.8370  4 Rh 2.98-3.33
Sr  0.3104  0.5417  0.1042  3 Rh 2.99-3.29, 1 Li 3.29
Sr  0.8104  0.9583  0.6042  3 Rh 2.99-3.29, 1 Li 3.29
Sr  0.8319  0.7678  0.1630  4 Rh 2.98-3.33
Sr  0.2508  0.4136  0.5233  4 Rh 3.03-3.24, 1 Li 3.37
Sr  0.6896  0.4583  0.8958  3 Rh 2.99-3.29, 1 Li 3.29
Sr  0.6681  0.2678  0.3370  4 Rh 2.98-3.33
Sr  0.7492  0.5864  0.4767  4 Rh 3.03-3.24, 1 Li 3.37
Sr  0.7508  0.0864  0.0233  4 Rh 3.03-3.24, 1 Li 3.37
Sr  0.3319  0.7322  0.6630  4 Rh 2.98-3.33

[4]
NiAu2Cl: optimized geometry, GGA-PBE.

## Properties
final energy = -0.2263 Ry/atom
space-group type = No. 119
energy relative to the elements, uncorrected = 467 meV per atom

abc: 4.6180 4.6180 4.6180
angles: 120.22 120.22 89.62
Closest atoms and distances in Å follow each position.
Element x y z (fractional)
Au  0.0000  0.0000  0.0000  4 Ni 2.82, 4 Au 2.82
Au  0.2500  0.7500  0.5000  4 Au 2.82, 4 Cl 2.82
Cl  0.5000  0.5000  0.0000  4 Au 2.82, 4 Ni 2.82
Ni  0.7500  0.2500  0.5000  4 Cl 2.82, 4 Au 2.82

[5]
SrIn3Cu: optimized geometry, GGA-PBE.

## Properties
final energy = -0.2136 Ry/atom
space-group type = No. 221
energy of formation from the pure elements = -0.108 eV/atom

abc: 5.1807 5.1807 5.1807
angles: 90.00 90.00 90.00
Closest atoms and distances in Å follow each position.
Element x y z (fractional)
In  0.0000  0.5000  0.0000  2 Cu 2.59
In  0.5000  0.0000  0.0000  2 Cu 2.59
In  0.0000  0.0000  0.5000  2 Cu 2.59
Sr  0.5000  0.5000  0.5000  12 In 3.66
Cu  0.0000  0.0000  0.0000  6 In 2.59

[6]
NbAsCl2: optimized geometry, GGA-PBE.

## Properties
final energy = -0.3327 Ry/atom
space-group type = No. 166
energy relative to the elements, uncorrected = 77 meV per atom

abc: 9.7324 9.7324 9.7324
angles: 18.69 18.69 18.69
Closest atoms and distances in Å follow each position.
Element x y z (fractional)
Cl  0.0815  0.0815  0.0815  1 Nb 2.34
Cl  0.9185  0.9185  0.9185  1 Nb 2.34
Nb  0.0000  0.0000  0.0000  2 Cl 2.34
As  0.5000  0.5000  0.5000  6 Cl 3.05, 6 As 3.16